# 1
Entry from the Alexandria database: an optimized crystal structure of LaMoW (PBE-GGA).

Computed properties:
The polymorph energy (0 for the lowest one) comes out at 0.503 eV per atom.

Cell lengths 4.607, 4.607, 4.607 Å; angles 60.00, 60.00, 60.00 degrees
Atoms (fractional coordinates):
La 0.500 0.500 0.500
Mo 0.750 0.750 0.750
W 0.000 0.000 0.000

=====

# 2
Entry from the Alexandria database: an optimized crystal structure of LaMo2W (PBE-GGA).

Computed properties:
The polymorph energy (0 for the lowest one) comes out at 0.105 eV per atom.

Cell lengths 4.334, 2.930, 6.436 Å; angles 82.97, 90.00, 90.00 degrees
Atoms (fractional coordinates):
La 0.500 0.750 0.750
Mo 0.000 0.964 0.068
Mo 0.000 0.536 0.432
W 0.500 0.250 0.250

=====

# 3
Entry from the Alexandria database: an optimized crystal structure of LaMoW3 (PBE-GGA).

Computed properties:
The polymorph energy (0 for the lowest one) comes out at 1.573 eV per atom.

Cell lengths 4.739, 4.739, 4.739 Å; angles 90.00, 90.00, 90.00 degrees
Atoms (fractional coordinates):
Mo 0.500 0.500 0.500
W 0.000 0.500 0.000
W 0.000 0.000 0.500
W 0.500 0.000 0.000
La 0.000 0.000 0.000

=====

# 4
Entry from the Alexandria database: an optimized crystal structure of LaMoW3 (PBE-GGA).

Computed properties:
The polymorph energy (0 for the lowest one) comes out at 0.000 eV per atom.

Cell lengths 4.860, 4.860, 4.860 Å; angles 90.00, 90.00, 90.00 degrees
Site moments in Bohr magnetons follow the coordinates.
Atoms (fractional coordinates):
Mo 0.000 0.000 0.000  -0.05
W 0.000 0.500 0.000  0.23
W 0.000 0.000 0.500  0.36
W 0.500 0.000 0.000  0.17
La 0.500 0.500 0.500  0.05

=====

# 5
Entry from the Alexandria database: an optimized crystal structure of LaMoW2 (PBE-GGA).

Computed properties:
The polymorph energy (0 for the lowest one) comes out at 0.249 eV per atom.

Cell lengths 5.274, 5.274, 5.549 Å; angles 72.95, 72.95, 35.74 degrees
Atoms (fractional coordinates):
La 0.750 0.750 0.750
Mo 0.250 0.250 0.250
W 0.968 0.968 0.096
W 0.532 0.532 0.404

=====

# 6
Entry from the Alexandria database: an optimized crystal structure of LaMoW2 (PBE-GGA).

Computed properties:
The polymorph energy (0 for the lowest one) comes out at 0.662 eV per atom.

Cell lengths 7.803, 7.803, 6.177 Å; angles 50.83, 50.83, 90.00 degrees
Atoms (fractional coordinates):
Mo 0.500 0.500 0.000
Mo 0.250 0.750 0.500
W 0.580 0.125 0.250
W 0.170 0.625 0.250
W 0.375 0.420 0.750
W 0.875 0.830 0.750
La 0.000 0.000 0.000
La 0.750 0.250 0.500

=====

# 7
Entry from the Alexandria database: an optimized crystal structure of LaMo2W (PBE-GGA).

Computed properties:
The polymorph energy (0 for the lowest one) comes out at 0.824 eV per atom.

Cell lengths 4.435, 4.435, 9.866 Å; angles 77.01, 77.01, 90.00 degrees
Atoms (fractional coordinates):
Mo 0.734 0.125 0.250
Mo 0.016 0.625 0.250
Mo 0.375 0.266 0.750
Mo 0.875 0.984 0.750
W 0.000 0.000 0.000
W 0.750 0.250 0.500
La 0.500 0.500 0.000
La 0.250 0.750 0.500

=====

# 8
Entry from the Alexandria database: an optimized crystal structure of LaMoW2 (PBE-GGA).

Computed properties:
The polymorph energy (0 for the lowest one) comes out at 0.270 eV per atom.

Cell lengths 5.716, 5.716, 5.716 Å; angles 147.41, 130.82, 60.25 degrees
Atoms (fractional coordinates):
La 0.750 0.250 0.500
Mo 0.250 0.750 0.500
W 0.011 0.011 0.000
W 0.489 0.489 0.000

=====

# 9
Entry from the Alexandria database: an optimized crystal structure of LaMo2W (PBE-GGA).

Computed properties:
The polymorph energy (0 for the lowest one) comes out at 0.213 eV per atom.

Cell lengths 5.223, 5.223, 5.580 Å; angles 72.66, 72.66, 36.26 degrees
Atoms (fractional coordinates):
La 0.251 0.251 0.247
Mo 0.031 0.031 0.904
Mo 0.750 0.750 0.749
W 0.468 0.468 0.600

=====

# 10
Entry from the Alexandria database: an optimized crystal structure of LaMo2W (PBE-GGA).

Computed properties:
The polymorph energy (0 for the lowest one) comes out at 0.223 eV per atom.

Cell lengths 4.710, 4.710, 4.710 Å; angles 60.00, 60.00, 60.00 degrees
Atoms (fractional coordinates):
La 0.500 0.500 0.500
Mo 0.000 0.000 0.000
Mo 0.250 0.250 0.250
W 0.750 0.750 0.750

=====

# 11
Entry from the Alexandria database: an optimized crystal structure of LaMoW2 (PBE-GGA).

Computed properties:
The polymorph energy (0 for the lowest one) comes out at 0.538 eV per atom.

Cell lengths 5.155, 3.876, 3.876 Å; angles 90.00, 90.00, 90.00 degrees
Atoms (fractional coordinates):
La 0.500 0.500 0.000
Mo 0.500 0.000 0.500
W 0.000 0.000 0.000
W 0.000 0.500 0.500

=====

# 12
Entry from the Alexandria database: an optimized crystal structure of La3MoW (PBE-GGA).

Computed properties:
The polymorph energy (0 for the lowest one) comes out at 0.000 eV per atom.

Cell lengths 5.413, 5.413, 5.413 Å; angles 90.00, 90.00, 90.00 degrees
Site moments in Bohr magnetons follow the coordinates.
Atoms (fractional coordinates):
Mo 0.000 0.000 0.000  -0.07
W 0.500 0.500 0.500  -2.59
La 0.000 0.500 0.000  0.01
La 0.000 0.000 0.500  0.02
La 0.500 0.000 0.000  0.04

=====

no.,Fermi-level density of states (states/eV/cell)
1,2.2
2,4.8
3,5.8
4,8.7
5,4.6
6,10.9
7,11.0
8,3.6
9,4.7
10,5.8
11,5.1
12,6.1